NaSmGeSe3 (PBE, relaxed); total moment = 0.004 μB per cell; mass density = 4.67 g cm⁻³; E_tot = -0.332 Ry per atom
1.0
2.224 -6.800 0.000
2.224 6.800 0.000
0.000 0.000 11.356
Na Sm Ge Se
2 2 2 6
direct
0.246 0.754 0.750
0.754 0.246 0.250
0.500 0.500 0.000
0.500 0.500 0.500
0.028 0.972 0.250
0.972 0.028 0.750
0.138 0.862 0.059
0.138 0.862 0.441
0.417 0.583 0.250
0.583 0.417 0.750
0.862 0.138 0.559
0.862 0.138 0.941

=====

TaCoSnAu (PBE, relaxed); ΔE to the lowest computed polymorph = 0 meV per atom; total moment = 0.032 μB per cell; mass density = 13.62 g cm⁻³
1.0
6.471 0.000 0.000
0.000 6.471 0.000
0.000 0.000 6.471
Ta Co Sn Au
4 4 4 4
direct
0.000 0.000 0.000
0.000 0.500 0.500
0.500 0.000 0.500
0.500 0.500 0.000
0.250 0.250 0.750
0.250 0.750 0.250
0.750 0.250 0.250
0.750 0.750 0.750
0.000 0.000 0.500
0.000 0.500 0.000
0.500 0.000 0.000
0.500 0.500 0.500
0.250 0.250 0.250
0.250 0.750 0.750
0.750 0.250 0.750
0.750 0.750 0.250

=====

ThNp (PBE, relaxed); ΔE to the lowest computed polymorph = 0 meV per atom; total moment = 4.108 μB per cell; ΔE_f = 0.45 eV per atom; mass density = 13.78 g cm⁻³
1.0
3.387 0.000 0.000
-1.694 2.933 0.000
0.000 0.000 5.690
Th Np
1 1
direct
0.000 0.000 0.000
0.333 0.667 0.500

=====

SnIrW (PBE, relaxed); ΔE to the lowest computed polymorph = 372 meV per atom; total moment = 0.001 μB per cell; mass density = 13.60 g cm⁻³
1.0
6.229 0.000 0.000
0.000 6.229 0.000
0.000 0.000 6.229
Sn Ir W
4 4 4
direct
0.000 0.000 0.000
0.000 0.500 0.500
0.500 0.000 0.500
0.500 0.500 0.000
0.000 0.000 0.500
0.000 0.500 0.000
0.500 0.000 0.000
0.500 0.500 0.500
0.250 0.250 0.750
0.250 0.750 0.250
0.750 0.250 0.250
0.750 0.750 0.750

=====

SmTm4Ag5 (PBE, relaxed); total moment = 0.060 μB per cell; ΔE_f = -0.34 eV per atom; mass density = 9.73 g cm⁻³
1.0
3.589 0.000 0.000
0.000 3.589 0.000
0.000 0.000 18.092
Sm Tm Ag
1 4 5
direct
0.000 0.000 0.000
0.000 0.000 0.205
0.000 0.000 0.401
0.000 0.000 0.599
0.000 0.000 0.795
0.500 0.500 0.109
0.500 0.500 0.303
0.500 0.500 0.500
0.500 0.500 0.697
0.500 0.500 0.891

=====

In2Re2O7 (PBE, relaxed); total moment = 0.006 μB per cell; mass density = 7.54 g cm⁻³; E_tot = -0.526 Ry per atom
1.0
3.048 -4.667 0.000
3.048 4.667 0.000
-0.867 0.000 5.530
In Re O
2 2 7
direct
0.199 0.801 0.000
0.801 0.199 0.000
0.205 0.205 0.584
0.795 0.795 0.416
0.083 0.083 0.242
0.092 0.428 0.773
0.428 0.092 0.773
0.500 0.500 0.500
0.572 0.908 0.227
0.908 0.572 0.227
0.917 0.917 0.758

=====

GdInFeSe3 (PBE, relaxed); total moment = 7.985 μB per cell; mass density = 5.75 g cm⁻³; E_tot = -0.385 Ry per atom
1.0
2.048 -7.359 0.000
2.048 7.359 0.000
0.000 0.000 10.823
Gd In Fe Se
2 2 2 6
direct
0.000 0.000 0.000
0.000 0.000 0.500
0.244 0.756 0.750
0.756 0.244 0.250
0.473 0.527 0.250
0.527 0.473 0.750
0.071 0.929 0.250
0.372 0.628 0.073
0.372 0.628 0.427
0.628 0.372 0.573
0.628 0.372 0.927
0.929 0.071 0.750

=====

AlCuB (PBE, relaxed); mass density = 4.39 g cm⁻³; E_tot = -0.297 Ry per atom
1.0
5.353 0.000 0.000
0.000 5.353 0.000
0.000 0.000 5.353
Al Cu B
4 4 4
direct
0.000 0.000 0.000
0.000 0.500 0.500
0.500 0.000 0.500
0.500 0.500 0.000
0.250 0.250 0.250
0.250 0.750 0.750
0.750 0.250 0.750
0.750 0.750 0.250
0.250 0.250 0.750
0.250 0.750 0.250
0.750 0.250 0.250
0.750 0.750 0.750